#w
# KReIr (GGA-PBE, relaxed)
# calculated density = 12.46 g/cm3
# spin magnetization = 0.41 μB/cell
data_KReIr
_cell_length_a 4.9625
_cell_length_b 4.9625
_cell_length_c 2.6097
_cell_angle_alpha 90.00
_cell_angle_beta 90.00
_cell_angle_gamma 120.00
_symmetry_space_group_name_H-M 'P -6 m 2'
_symmetry_Int_Tables_number 187
_symmetry_space_group_name_Hall 'P -6 2'
loop_
_atom_site_label
_atom_site_fract_x
_atom_site_fract_y
_atom_site_fract_z
K1 0.0000 0.0000 0.0000
Re1 0.6667 0.3333 0.5000
Ir1 0.3333 0.6667 0.5000

#x
# KReIr (GGA-PBE, relaxed)
# calculated density = 11.34 g/cm3
# spin magnetization = 0.00 μB/cell
data_KReIr
_cell_length_a 6.254
_cell_length_b 6.254
_cell_length_c 6.254
_cell_angle_alpha 90.00
_cell_angle_beta 90.00
_cell_angle_gamma 90.00
_symmetry_space_group_name_H-M 'F -4 3 m'
_symmetry_Int_Tables_number 216
_symmetry_space_group_name_Hall 'F -4 2 3'
loop_
_atom_site_label
_atom_site_fract_x
_atom_site_fract_y
_atom_site_fract_z
K1 0.000 0.000 0.000
Re1 0.250 0.250 0.250
Ir1 0.000 0.000 0.500

Q: Which of them is the most stable? A: #w.

#w
# K2ReIr2 (GGA-PBE, relaxed)
# calculated density = 10.92 g/cm3
# spin magnetization = 0.60 μB/cell
data_K2ReIr2
_cell_length_a 3.522
_cell_length_b 3.522
_cell_length_c 15.899
_cell_angle_alpha 90.00
_cell_angle_beta 90.00
_cell_angle_gamma 90.00
_symmetry_space_group_name_H-M 'I 4/m m m'
_symmetry_Int_Tables_number 139
_symmetry_space_group_name_Hall '-I 4 2'
loop_
_atom_site_label
_atom_site_fract_x
_atom_site_fract_y
_atom_site_fract_z
K1 0.000 0.500 0.250
Re1 0.000 0.000 0.000
Ir1 0.000 0.000 0.420

#x
# K2ReIr2 (GGA-PBE, relaxed)
# calculated density = 9.17 g/cm3
# spin magnetization = 0.00 μB/cell
data_K2ReIr2
_cell_length_a 6.388
_cell_length_b 6.388
_cell_length_c 5.757
_cell_angle_alpha 90.00
_cell_angle_beta 90.00
_cell_angle_gamma 90.00
_symmetry_space_group_name_H-M 'P 4/m b m'
_symmetry_Int_Tables_number 127
_symmetry_space_group_name_Hall '-P 4 2ab'
loop_
_atom_site_label
_atom_site_fract_x
_atom_site_fract_y
_atom_site_fract_z
K1 0.181 0.319 0.000
Re1 0.000 0.000 0.500
Ir1 0.135 0.635 0.500

Q: Which of them is the most stable? A: #x.

#w
# KIrRh2 (GGA-PBE, relaxed)
# calculated density = 6.87 g/cm3
# spin magnetization = 0.00 μB/cell
data_KIrRh2
_cell_length_a 5.114
_cell_length_b 5.114
_cell_length_c 16.158
_cell_angle_alpha 90.00
_cell_angle_beta 90.00
_cell_angle_gamma 90.00
_symmetry_space_group_name_H-M 'I -4 2 d'
_symmetry_Int_Tables_number 122
_symmetry_space_group_name_Hall 'I -4 2bw'
loop_
_atom_site_label
_atom_site_fract_x
_atom_site_fract_y
_atom_site_fract_z
K1 0.000 0.000 0.000
Ir1 0.000 0.000 0.500
Rh1 0.075 0.250 0.625

#x
# KIrRh2 (GGA-PBE, relaxed)
# calculated density = 10.25 g/cm3
# spin magnetization = 0.00 μB/cell
data_KIrRh2
_cell_length_a 2.785
_cell_length_b 2.785
_cell_length_c 9.127
_cell_angle_alpha 90.00
_cell_angle_beta 90.00
_cell_angle_gamma 90.00
_symmetry_space_group_name_H-M 'P 4 m m'
_symmetry_Int_Tables_number 99
loop_
_symmetry_equiv_pos_as_xyz
'x,y,z'
'-y,x,z'
'-x,-y,z'
'y,-x,z'
'-x,y,z'
'y,x,z'
'x,-y,z'
'-y,-x,z'
loop_
_atom_site_label
_atom_site_fract_x
_atom_site_fract_y
_atom_site_fract_z
K1 0.000 0.000 0.000
Ir1 0.500 0.500 0.700
Rh1 0.000 0.000 0.502
Rh2 0.500 0.500 0.301

Q: Which of them is the most stable? A: #x.

#w
# KIr3Rh (GGA-PBE, relaxed)
# calculated density = 11.99 g/cm3
# spin magnetization = 4.24 μB/cell
data_KIr3Rh
_cell_length_a 4.634
_cell_length_b 4.634
_cell_length_c 4.634
_cell_angle_alpha 90.00
_cell_angle_beta 90.00
_cell_angle_gamma 90.00
_symmetry_space_group_name_H-M 'P m -3 m'
_symmetry_Int_Tables_number 221
_symmetry_space_group_name_Hall '-P 4 2 3'
loop_
_atom_site_label
_atom_site_fract_x
_atom_site_fract_y
_atom_site_fract_z
K1 0.000 0.000 0.000
Ir1 0.000 0.000 0.500
Rh1 0.500 0.500 0.500

#x
# KIr3Rh (GGA-PBE, relaxed)
# calculated density = 10.58 g/cm3
# spin magnetization = 1.38 μB/cell
data_KIr3Rh
_cell_length_a 4.832
_cell_length_b 4.832
_cell_length_c 4.832
_cell_angle_alpha 90.00
_cell_angle_beta 90.00
_cell_angle_gamma 90.00
_symmetry_space_group_name_H-M 'P m -3 m'
_symmetry_Int_Tables_number 221
_symmetry_space_group_name_Hall '-P 4 2 3'
loop_
_atom_site_label
_atom_site_fract_x
_atom_site_fract_y
_atom_site_fract_z
K1 0.000 0.000 0.000
Ir1 0.000 0.500 0.500
Rh1 0.500 0.500 0.500

Q: Which of them is the most stable? A: #x.